# Zn2Mo2O5

Crystalline Zn2Mo2O5 at its relaxed geometry (PBE+U, Alexandria via LeMat-Bulk).

Summary:
Its electronic total energy is -5.759 eV/atom. The magnetization is 5.977 μB per formula unit.

abc: 3.368 5.237 15.504
angles: 90.00 90.00 90.00
Space group Pmc2_1 (No. 26)
Inequivalent atoms, fractional coordinates:
Zn  0.000  0.076  0.000
Zn  0.000  0.397  0.609
Mo  0.500  0.097  0.196
Mo  0.500  0.437  0.397
O  0.000  0.230  0.121
O  0.000  0.300  0.459
O  0.500  0.218  0.949
O  0.500  0.220  0.612
O  0.500  0.424  0.279